# PuScNi2O6 | Alexandria | PBE+U | relaxed
# * space group: R3
# * calculated total energy: -7.789 eV/atom
# * DOS(E_F): 1.06 states/eV per atom
# * volume: 118.3 Å³/cell
data_PuScNi2O6
_cell_length_a 5.312
_cell_length_b 5.312
_cell_length_c 5.731
_cell_angle_alpha 62.38
_cell_angle_beta 62.38
_cell_angle_gamma 60.00
_symmetry_space_group_name_H-M 'P 1'
_symmetry_Int_Tables_number 1
_symmetry_space_group_name_Hall 'P 1'
loop_
_atom_site_label
_atom_site_fract_x
_atom_site_fract_y
_atom_site_fract_z
_atom_site_occupancy
Pu1 0.318 0.318 0.046 1
Sc1 0.814 0.814 0.557 1
Ni1 0.520 0.520 0.440 1
Ni2 0.015 0.015 0.954 1
O1 0.617 0.221 0.254 1
O2 0.221 0.908 0.254 1
O3 0.908 0.616 0.254 1
O4 0.412 0.724 0.752 1
O5 0.724 0.112 0.752 1
O6 0.112 0.412 0.752 1